{"formula": "NdSm12In4O3", "functional": "PBE", "state": "relaxed", "lattice_angstrom": [[8.777, 0.000, 0.000], [-2.926, 8.275, 0.000], [-2.926, -4.138, 7.166]], "species": ["Nd", "Sm", "Sm", "Sm", "Sm", "Sm", "Sm", "Sm", "Sm", "Sm", "Sm", "Sm", "Sm", "In", "In", "In", "In", "O", "O", "O"], "frac_coords": [[0.000, 0.000, 0.000], [0.250, 0.500, 0.750], [0.727, 0.000, 0.727], [0.273, 0.000, 0.273], [0.750, 0.500, 0.250], [0.727, 0.727, 0.000], [0.273, 0.273, 0.000], [0.750, 0.250, 0.500], [0.250, 0.750, 0.500], [0.500, 0.250, 0.750], [0.000, 0.727, 0.727], [0.500, 0.750, 0.250], [0.000, 0.273, 0.273], [0.500, 0.500, 0.500], [0.000, 0.000, 0.500], [0.500, 0.000, 0.000], [0.000, 0.500, 0.000], [0.500, 0.000, 0.500], [0.500, 0.500, 0.000], [0.000, 0.500, 0.500]], "vol_a3_per_atom": 26.0, "raw_formation_energy_mev_per_atom": -791, "dos_at_fermi_per_ev_fu": 18.027}

---

{"formula": "Nd4InSnO", "functional": "PBE", "state": "relaxed", "lattice_angstrom": [[-3.058, 1.118, -5.934], [4.464, -4.043, -3.062], [-3.667, -7.354, 4.364]], "species": ["Nd", "Nd", "Nd", "Nd", "Nd", "Nd", "Nd", "Nd", "In", "In", "Sn", "Sn", "O", "O"], "frac_coords": [[0.920, 0.250, 0.840], [0.429, 0.750, 0.858], [0.080, 0.750, 0.160], [0.571, 0.250, 0.142], [0.500, 0.500, 0.500], [0.000, 0.000, 0.500], [0.500, 0.000, 0.500], [0.000, 0.500, 0.500], [0.613, 0.750, 0.226], [0.387, 0.250, 0.774], [0.110, 0.250, 0.220], [0.890, 0.750, 0.780], [0.233, 0.750, 0.465], [0.767, 0.250, 0.535]], "vol_a3_per_atom": 28.3, "raw_formation_energy_mev_per_atom": -1159, "dos_at_fermi_per_ev_fu": 6.145}

---

{"formula": "TbNd12In4O3", "functional": "PBE", "state": "relaxed", "lattice_angstrom": [[8.950, 0.000, 0.000], [-2.983, 8.438, 0.000], [-2.983, -4.219, 7.308]], "species": ["Tb", "Nd", "Nd", "Nd", "Nd", "Nd", "Nd", "Nd", "Nd", "Nd", "Nd", "Nd", "Nd", "In", "In", "In", "In", "O", "O", "O"], "frac_coords": [[0.000, 0.000, 0.000], [0.250, 0.500, 0.750], [0.725, 0.000, 0.725], [0.275, 0.000, 0.275], [0.750, 0.500, 0.250], [0.725, 0.725, 0.000], [0.275, 0.275, 0.000], [0.750, 0.250, 0.500], [0.250, 0.750, 0.500], [0.500, 0.250, 0.750], [0.000, 0.725, 0.725], [0.500, 0.750, 0.250], [0.000, 0.275, 0.275], [0.500, 0.500, 0.500], [0.000, 0.000, 0.500], [0.500, 0.000, 0.000], [0.000, 0.500, 0.000], [0.500, 0.000, 0.500], [0.500, 0.500, 0.000], [0.000, 0.500, 0.500]], "vol_a3_per_atom": 27.6, "raw_formation_energy_mev_per_atom": -787, "dos_at_fermi_per_ev_fu": 16.335}

---

{"formula": "Tb2NdInO", "functional": "PBE", "state": "relaxed", "lattice_angstrom": [[-1.836, -2.282, 4.046], [-2.949, -2.577, -2.791], [3.363, -3.415, -0.400]], "species": ["Tb", "Tb", "Nd", "In", "O"], "frac_coords": [[0.000, 0.000, 0.500], [0.000, 0.500, 0.000], [0.500, 0.000, 0.000], [0.500, 0.500, 0.500], [0.000, 0.000, 0.000]], "vol_a3_per_atom": 23.1, "raw_formation_energy_mev_per_atom": -1421, "dos_at_fermi_per_ev_fu": 1.569}

---

{"formula": "NdIn2TeO8", "functional": "PBE", "state": "relaxed", "lattice_angstrom": [[4.904, -0.016, -0.003], [0.015, 4.906, -0.005], [0.004, 0.007, 6.947]], "species": ["Nd", "In", "In", "Te", "O", "O", "O", "O", "O", "O", "O", "O"], "frac_coords": [[0.000, 0.000, 0.500], [0.500, 0.500, 0.763], [0.500, 0.500, 0.237], [0.000, 0.000, 0.000], [0.187, 0.813, 0.209], [0.715, 0.715, 0.000], [0.813, 0.187, 0.209], [0.813, 0.187, 0.791], [0.285, 0.285, 0.000], [0.187, 0.813, 0.791], [0.673, 0.674, 0.500], [0.327, 0.326, 0.500]], "vol_a3_per_atom": 13.9, "raw_formation_energy_mev_per_atom": -1597, "dos_at_fermi_per_ev_fu": 4.885}

---

{"formula": "Nd4TlInO", "functional": "PBE", "state": "relaxed", "lattice_angstrom": [[-6.338, -0.780, -2.414], [2.522, -1.239, -6.220], [3.510, -7.950, 3.007]], "species": ["Nd", "Nd", "Nd", "Nd", "Nd", "Nd", "Nd", "Nd", "Tl", "Tl", "In", "In", "O", "O"], "frac_coords": [[0.920, 0.250, 0.841], [0.427, 0.750, 0.855], [0.080, 0.750, 0.159], [0.573, 0.250, 0.145], [0.500, 0.500, 0.500], [0.000, 0.000, 0.500], [0.500, 0.000, 0.500], [0.000, 0.500, 0.500], [0.110, 0.250, 0.220], [0.890, 0.750, 0.780], [0.613, 0.750, 0.226], [0.387, 0.250, 0.774], [0.236, 0.750, 0.472], [0.764, 0.250, 0.528]], "vol_a3_per_atom": 28.4, "raw_formation_energy_mev_per_atom": -1029, "dos_at_fermi_per_ev_fu": 2.750}

---

Repeat the third record exactly.
{"formula": "TbNd12In4O3", "functional": "PBE", "state": "relaxed", "lattice_angstrom": [[8.950, 0.000, 0.000], [-2.983, 8.438, 0.000], [-2.983, -4.219, 7.308]], "species": ["Tb", "Nd", "Nd", "Nd", "Nd", "Nd", "Nd", "Nd", "Nd", "Nd", "Nd", "Nd", "Nd", "In", "In", "In", "In", "O", "O", "O"], "frac_coords": [[0.000, 0.000, 0.000], [0.250, 0.500, 0.750], [0.725, 0.000, 0.725], [0.275, 0.000, 0.275], [0.750, 0.500, 0.250], [0.725, 0.725, 0.000], [0.275, 0.275, 0.000], [0.750, 0.250, 0.500], [0.250, 0.750, 0.500], [0.500, 0.250, 0.750], [0.000, 0.725, 0.725], [0.500, 0.750, 0.250], [0.000, 0.275, 0.275], [0.500, 0.500, 0.500], [0.000, 0.000, 0.500], [0.500, 0.000, 0.000], [0.000, 0.500, 0.000], [0.500, 0.000, 0.500], [0.500, 0.500, 0.000], [0.000, 0.500, 0.500]], "vol_a3_per_atom": 27.6, "raw_formation_energy_mev_per_atom": -787, "dos_at_fermi_per_ev_fu": 16.335}

---

Please write out number 5 again, unchanged.
{"formula": "NdIn2TeO8", "functional": "PBE", "state": "relaxed", "lattice_angstrom": [[4.904, -0.016, -0.003], [0.015, 4.906, -0.005], [0.004, 0.007, 6.947]], "species": ["Nd", "In", "In", "Te", "O", "O", "O", "O", "O", "O", "O", "O"], "frac_coords": [[0.000, 0.000, 0.500], [0.500, 0.500, 0.763], [0.500, 0.500, 0.237], [0.000, 0.000, 0.000], [0.187, 0.813, 0.209], [0.715, 0.715, 0.000], [0.813, 0.187, 0.209], [0.813, 0.187, 0.791], [0.285, 0.285, 0.000], [0.187, 0.813, 0.791], [0.673, 0.674, 0.500], [0.327, 0.326, 0.500]], "vol_a3_per_atom": 13.9, "raw_formation_energy_mev_per_atom": -1597, "dos_at_fermi_per_ev_fu": 4.885}